1.
{
  "formula": "NaErZnAg",
  "functional": "PBE",
  "state": "relaxed",
  "sg": "No. 216",
  "total_magnetization_mub_per_cell": 0.0,
  "dos_ef_per_ev_cell": 3.272,
  "energy_ev_per_cell": -10.24,
  "formation_energy_mev_per_atom": -59,
  "lattice_angstrom": [[4.9929, 0.0000, 0.0000], [2.4964, 4.3239, 0.0000], [2.4964, 1.4413, 4.0766]],
  "species": ["Na", "Zn", "Ag", "Er"],
  "frac_coords": [[0.0000, 0.0000, 0.0000], [0.2500, 0.2500, 0.2500], [0.7500, 0.7500, 0.7500], [0.5000, 0.5000, 0.5000]]
}

2.
{
  "formula": "Ta2CrHW",
  "functional": "PBE",
  "state": "relaxed",
  "sg": "No. 123",
  "total_magnetization_mub_per_cell": 0.0,
  "dos_ef_per_ev_cell": 2.344,
  "energy_ev_per_cell": -49.92,
  "lattice_angstrom": [[4.4894, 0.0000, 0.0000], [0.0000, 4.4894, 0.0000], [0.0000, 0.0000, 3.2927]],
  "species": ["Cr", "H", "W", "Ta", "Ta"],
  "frac_coords": [[0.0000, 0.0000, 0.5000], [0.0000, 0.0000, 0.0000], [0.5000, 0.5000, 0.5000], [0.0000, 0.5000, 0.0000], [0.5000, 0.0000, 0.0000]]
}

3.
{
  "formula": "CsSr3Ge",
  "functional": "PBE",
  "state": "relaxed",
  "sg": "No. 221",
  "total_magnetization_mub_per_cell": 0.0,
  "dos_ef_per_ev_cell": 7.261,
  "energy_ev_per_cell": -4.95,
  "relative_energy_mev_per_atom": 1245,
  "formation_energy_mev_per_atom": 1114,
  "lattice_angstrom": [[-5.4779, -1.7602, 2.0713], [2.7126, -3.8361, 3.9142], [0.1727, 4.4251, 4.2171]],
  "species": ["Cs", "Sr", "Sr", "Sr", "Ge"],
  "frac_coords": [[0.0000, 0.0000, 0.0000], [0.0000, 0.5000, 0.0000], [0.0000, 0.0000, 0.5000], [0.5000, 0.0000, 0.0000], [0.5000, 0.5000, 0.5000]]
}

4.
{
  "formula": "YMoRhCl2",
  "functional": "PBE",
  "state": "relaxed",
  "sg": "No. 123",
  "total_magnetization_mub_per_cell": 0.6,
  "dos_ef_per_ev_cell": 5.010,
  "energy_ev_per_cell": -28.48,
  "lattice_angstrom": [[-0.7843, 4.1271, 2.0615], [-3.9067, -1.9268, 2.3713], [2.7741, -1.2488, 3.5556]],
  "species": ["Y", "Mo", "Rh", "Cl", "Cl"],
  "frac_coords": [[0.5000, 0.5000, 0.5000], [0.0000, 0.0000, 0.0000], [0.0000, 0.5000, 0.0000], [0.0000, 0.0000, 0.5000], [0.5000, 0.0000, 0.0000]]
}

5.
{
  "formula": "MgScRh2Se",
  "functional": "PBE",
  "state": "relaxed",
  "sg": "No. 123",
  "total_magnetization_mub_per_cell": 1.0,
  "dos_ef_per_ev_cell": 6.435,
  "energy_ev_per_cell": -23.02,
  "lattice_angstrom": [[-0.0853, 2.5391, -3.6990], [2.4201, -3.7773, -2.6487], [-3.9729, -1.7617, -1.1177]],
  "species": ["Sc", "Mg", "Rh", "Rh", "Se"],
  "frac_coords": [[0.0000, 0.5000, 0.0000], [0.0000, 0.0000, 0.0000], [0.0000, 0.0000, 0.5000], [0.5000, 0.0000, 0.0000], [0.5000, 0.5000, 0.5000]]
}

6.
{
  "formula": "CeBeNb2N4",
  "functional": "PBE",
  "state": "relaxed",
  "sg": "No. 63",
  "total_magnetization_mub_per_cell": 0.3,
  "dos_ef_per_ev_cell": 10.617,
  "energy_ev_per_cell": -144.69,
  "lattice_angstrom": [[-2.9124, 0.3350, -1.3021], [-0.6033, -3.2642, 4.4608], [-1.6934, 8.4658, 5.9658]],
  "species": ["Ce", "Ce", "Be", "Be", "Nb", "Nb", "Nb", "Nb", "N", "N", "N", "N", "N", "N", "N", "N"],
  "frac_coords": [[0.0978, 0.1956, 0.7500], [0.9022, 0.8044, 0.2500], [0.8259, 0.6519, 0.7500], [0.1741, 0.3481, 0.2500], [0.3753, 0.7506, 0.5474], [0.6247, 0.2494, 0.0474], [0.6247, 0.2494, 0.4526], [0.3753, 0.7506, 0.9526], [0.2650, 0.5300, 0.1192], [0.7350, 0.4700, 0.6192], [0.7350, 0.4700, 0.8808], [0.2650, 0.5300, 0.3808], [0.0000, 0.0000, 0.5000], [0.0000, 0.0000, 0.0000], [0.4164, 0.8329, 0.7500], [0.5836, 0.1671, 0.2500]]
}

7.
{
  "formula": "Sc2AlInPb",
  "functional": "PBE",
  "state": "relaxed",
  "sg": "No. 123",
  "total_magnetization_mub_per_cell": 0.0,
  "dos_ef_per_ev_cell": 0.903,
  "energy_ev_per_cell": -21.97,
  "formation_energy_mev_per_atom": 177,
  "lattice_angstrom": [[-3.7412, -3.0319, 1.9317], [0.2341, -2.9019, -4.1013], [3.5868, -2.9608, 2.2997]],
  "species": ["Pb", "Sc", "Sc", "Al", "In"],
  "frac_coords": [[0.5000, 0.5000, 0.5000], [0.0000, 0.0000, 0.5000], [0.5000, 0.0000, 0.0000], [0.0000, 0.0000, 0.0000], [0.0000, 0.5000, 0.0000]]
}

8.
{
  "formula": "SiIr2Rh",
  "functional": "PBE",
  "state": "relaxed",
  "sg": "No. 123",
  "total_magnetization_mub_per_cell": 0.0,
  "dos_ef_per_ev_cell": 5.525,
  "energy_ev_per_cell": -31.31,
  "lattice_angstrom": [[3.7822, 0.0000, 0.0000], [0.0000, 3.8402, 0.0000], [0.0000, 0.0000, 3.8402]],
  "species": ["Ir", "Ir", "Rh", "Si"],
  "frac_coords": [[0.0000, 0.0000, 0.0000], [0.0000, 0.5000, 0.5000], [0.5000, 0.5000, 0.0000], [0.5000, 0.0000, 0.5000]]
}